The following is a DFT calculation (GGA-PBE) of an optimized crystal structure of Cu3GeN.

abc: 3.990 3.990 3.990
angles: 90.00 90.00 90.00
Space group Pm-3m (No. 221)
Symmetry-distinct sites (fractional):
Cu: 0.000 0.000 0.500
Ge: 0.500 0.500 0.500
N: 0.000 0.000 0.000

The distance to the lowest polymorph of the same formula is 0 meV per atom. The raw formation energy comes out at 0.4251 eV per atom.

=====

The following is a DFT calculation (GGA-PBE) of an optimized crystal structure of NdCu2GeN.

abc: 3.642 11.944 7.064
angles: 90.00 90.00 90.00
Space group Cmcm (No. 63)
Symmetry-distinct sites (fractional):
Nd: 0.000 0.036 0.250
Cu: 0.000 0.338 0.055
Ge: 0.000 0.238 0.750
N: 0.000 0.500 0.000

The raw formation energy comes out at -0.4773 eV per atom.

=====

The following is a DFT calculation (GGA-PBE) of an optimized crystal structure of CuGeN2O.

abc: 3.799 3.799 3.766
angles: 90.00 90.00 90.00
Space group P4/mmm (No. 123)
Symmetry-distinct sites (fractional):
Cu: 0.000 0.000 0.000
Ge: 0.500 0.500 0.500
N: 0.000 0.500 0.000
O: 0.000 0.000 0.500

The raw formation energy comes out at 1.2770 eV per atom.

=====

The following is a DFT calculation (GGA-PBE) of an optimized crystal structure of CuGeN2O.

abc: 3.825 3.825 3.744
angles: 90.00 90.00 90.00
Space group P4/mmm (No. 123)
Symmetry-distinct sites (fractional):
Cu: 0.000 0.000 0.000
Ge: 0.500 0.500 0.500
N: 0.000 0.500 0.500
O: 0.500 0.500 0.000

The raw formation energy comes out at 0.9343 eV per atom.